[1]
Ac3Ge4Rh after structural relaxation, computed with PBE.

Computed properties:
- formation enthalpy at 0 K (kJ per mole of atoms) = -60.5
- VASP energy (eV/atom) = -5.40
- symmetry = Immm (71)
- V (Å³ per atom) = 28.49

abc: 4.8578 6.0214 8.6983
angles: 110.25 106.21 90.00
With the nearest neighbours (Å) after each atom.
Positions (direct):
Ac (0.1927, 0.1927, 0.3855)  6 Ge 3.20-3.24
Ac (0.8073, 0.8073, 0.6145)  6 Ge 3.20-3.24
Ac (0.0000, 0.5000, 0.0000)  8 Ge 3.30
Ge (0.3833, 0.5979, 0.7666)  1 Rh 2.50, 1 Ge 2.58
Ge (0.6167, 0.4021, 0.2334)  1 Rh 2.50, 1 Ge 2.58
Ge (0.6167, 0.8313, 0.2334)  1 Rh 2.50, 1 Ge 2.58
Ge (0.3833, 0.1687, 0.7666)  1 Rh 2.50, 1 Ge 2.58
Rh (0.5000, 0.0000, 0.0000)  4 Ge 2.50

[2]
Er4Cu2Hg after structural relaxation, computed with PBE.

Computed properties:
- formation enthalpy at 0 K (kJ per mole of atoms) = -17.9
- VASP energy (eV/atom) = -4.01
- symmetry = R-3m (166)
- ΔE to the lowest computed polymorph (eV per atom) = 0.000
- V (Å³ per atom) = 24.12

abc: 4.9585 4.9585 8.4302
angles: 72.90 72.90 60.00
With the nearest neighbours (Å) after each atom.
Positions (direct):
Hg (0.0000, 0.0000, 0.0000)  8 Er 3.09-3.10
Cu (0.7489, 0.7489, 0.7532)  8 Er 2.87-3.13
Cu (0.2511, 0.2511, 0.2468)  8 Er 2.87-3.13
Er (0.8698, 0.8698, 0.3907)  4 Cu 2.87-3.08, 1 Hg 3.10
Er (0.1302, 0.1302, 0.6093)  4 Cu 2.87-3.08, 1 Hg 3.10
Er (0.6174, 0.6174, 0.1479)  4 Cu 2.97-3.13, 3 Hg 3.09
Er (0.3826, 0.3826, 0.8521)  4 Cu 2.97-3.13, 3 Hg 3.09

Which value of formation enthalpy at 0 K does entry 2 give?
-17.9 kJ per mole of atoms

Repeat the second record exactly.
Er4Cu2Hg after structural relaxation, computed with PBE.

Computed properties:
- formation enthalpy at 0 K (kJ per mole of atoms) = -17.9
- VASP energy (eV/atom) = -4.01
- symmetry = R-3m (166)
- ΔE to the lowest computed polymorph (eV per atom) = 0.000
- V (Å³ per atom) = 24.12

abc: 4.9585 4.9585 8.4302
angles: 72.90 72.90 60.00
With the nearest neighbours (Å) after each atom.
Positions (direct):
Hg (0.0000, 0.0000, 0.0000)  8 Er 3.09-3.10
Cu (0.7489, 0.7489, 0.7532)  8 Er 2.87-3.13
Cu (0.2511, 0.2511, 0.2468)  8 Er 2.87-3.13
Er (0.8698, 0.8698, 0.3907)  4 Cu 2.87-3.08, 1 Hg 3.10
Er (0.1302, 0.1302, 0.6093)  4 Cu 2.87-3.08, 1 Hg 3.10
Er (0.6174, 0.6174, 0.1479)  4 Cu 2.97-3.13, 3 Hg 3.09
Er (0.3826, 0.3826, 0.8521)  4 Cu 2.97-3.13, 3 Hg 3.09